Computed, not measured: a relaxed NaZr3Hg crystal at the PBE level of DFT.

Summary:
- Symmetry: Pm-3m
- Distance to the lowest polymorph of the same formula: 0.0 meV per atom
- Calculated formation energy: 1047 meV/atom

Cell lengths 5.381, 5.381, 5.381 Å; angles 90.00, 90.00, 90.00 degrees
Site moments in Bohr magnetons follow the coordinates.
Positions (direct):
Na (0.500, 0.500, 0.500)  0.01
Hg (0.000, 0.000, 0.000)  0.02
Zr (0.000, 0.500, 0.000)  0.20
Zr (0.000, 0.000, 0.500)  0.13
Zr (0.500, 0.000, 0.000)  0.19